[1]
Entry from the Open Quantum Materials Database: crystalline HoAlZnNi at its relaxed geometry (PBE).

abc: 5.2008 5.2008 7.0597
angles: 90.00 90.00 133.82
Sites, in units of the cell vectors:
Ho (0.0632, 0.9368, 0.7546)
Ho (0.9368, 0.0632, 0.2546)
Zn (0.6447, 0.3553, 0.4441)
Zn (0.3553, 0.6447, 0.9441)
Ni (0.7800, 0.2200, 0.7453)
Ni (0.2200, 0.7800, 0.2453)
Al (0.6550, 0.3450, 0.0559)
Al (0.3450, 0.6550, 0.5559)

Energy above the lowest structure with this stoichiometry in meV/atom: 5.5
Magnetic moment in μB/cell: 0.00

***

[2]
Entry from the Open Quantum Materials Database: crystalline AcTeMo at its relaxed geometry (PBE).

abc: 4.8920 4.8920 4.8920
angles: 60.00 60.00 60.00
Sites, in units of the cell vectors:
Mo (0.0000, 0.0000, 0.0000)
Ac (0.2500, 0.2500, 0.2500)
Te (0.7500, 0.7500, 0.7500)

Energy above the lowest structure with this stoichiometry in meV/atom: 0.0
Magnetic moment in μB/cell: 1.03

***

[3]
Entry from the Open Quantum Materials Database: crystalline KSmHgSe3 at its relaxed geometry (PBE).

abc: 9.5679 9.5679 9.2888
angles: 102.96 102.96 25.86
Sites, in units of the cell vectors:
Se (0.0000, 0.0000, 0.0000)
Se (0.6687, 0.6687, 0.8666)
Se (0.3291, 0.3291, 0.7019)
Se (0.6709, 0.6709, 0.2981)
Se (0.5000, 0.5000, 0.5000)
Se (0.3313, 0.3313, 0.1334)
K (0.1393, 0.1393, 0.5701)
K (0.8607, 0.8607, 0.4299)
Sm (0.8272, 0.8272, 0.9165)
Sm (0.1728, 0.1728, 0.0835)
Hg (0.5193, 0.5193, 0.2229)
Hg (0.4807, 0.4807, 0.7771)

Total DFT energy (no corrections) in eV per cell: -46.74
Magnetic moment in μB/cell: 0.00

***

[4]
Entry from the Open Quantum Materials Database: crystalline BaTm2Se3 at its relaxed geometry (PBE).

abc: 4.1530 4.1530 10.6473
angles: 90.00 90.00 120.00
Sites, in units of the cell vectors:
Ba (0.0000, 0.0000, 0.5000)
Tm (0.3333, 0.6667, 0.1481)
Tm (0.6667, 0.3333, 0.8519)
Se (0.6667, 0.3333, 0.2933)
Se (0.0000, 0.0000, 0.0000)
Se (0.3333, 0.6667, 0.7067)

Total DFT energy (no corrections) in eV per cell: -31.96
Magnetic moment in μB/cell: 0.01

***

[5]
Entry from the Open Quantum Materials Database: crystalline LiSn5Au3 at its relaxed geometry (PBE).

abc: 5.7087 5.7087 8.4479
angles: 90.00 90.00 120.00
Sites, in units of the cell vectors:
Sn (0.3333, 0.6667, 0.8054)
Sn (0.3333, 0.6667, 0.1946)
Sn (0.6667, 0.3333, 0.8054)
Sn (0.0000, 0.0000, 0.5000)
Sn (0.6667, 0.3333, 0.1946)
Li (0.0000, 0.0000, 0.0000)
Au (0.5000, 0.5000, 0.5000)
Au (0.0000, 0.5000, 0.5000)
Au (0.5000, 0.0000, 0.5000)

Total DFT energy (no corrections) in eV per cell: -31.74

***

[6]
Entry from the Open Quantum Materials Database: crystalline SrGa2Ni at its relaxed geometry (PBE).

abc: 4.8002 4.8002 4.8002
angles: 60.00 60.00 60.00
Sites, in units of the cell vectors:
Sr (0.5000, 0.5000, 0.5000)
Ga (0.7500, 0.7500, 0.7500)
Ga (0.0000, 0.0000, 0.0000)
Ni (0.2500, 0.2500, 0.2500)

Total DFT energy (no corrections) in eV per cell: -13.34
Magnetic moment in μB/cell: 0.00

***

[7]
Entry from the Open Quantum Materials Database: crystalline Li2Nb2AlGeOs2 at its relaxed geometry (PBE).

abc: 4.3569 4.3569 6.1605
angles: 90.00 90.00 90.00
Sites, in units of the cell vectors:
Os (0.5000, 0.0000, 0.2502)
Os (0.0000, 0.5000, 0.7498)
Nb (0.0000, 0.0000, 0.0000)
Nb (0.5000, 0.5000, 0.5000)
Li (0.0000, 0.5000, 0.2501)
Li (0.5000, 0.0000, 0.7499)
Al (0.5000, 0.5000, 0.0000)
Ge (0.0000, 0.0000, 0.5000)

Total DFT energy (no corrections) in eV per cell: -57.72
Magnetic moment in μB/cell: 0.00

***

[8]
Entry from the Open Quantum Materials Database: crystalline NaW2N2Cl6 at its relaxed geometry (PBE).

abc: 8.3832 8.3832 8.3832
angles: 154.06 105.19 80.72
Site moments in Bohr magnetons follow the coordinates.
Sites, in units of the cell vectors:
N (0.6395, 0.0000, 0.6395)  -0.03
N (0.3605, 0.0000, 0.3605)  -0.03
Cl (0.7036, 0.3725, 0.3312)  0.02
Cl (0.3535, 0.3535, 0.0000)  0.00
Cl (0.2964, 0.6275, 0.6688)  0.02
Cl (0.6465, 0.6465, 0.0000)  0.00
Cl (0.0413, 0.3725, 0.6688)  0.02
Cl (0.9587, 0.6275, 0.3312)  0.02
W (0.6637, 0.5000, 0.1637)  0.37
W (0.3363, 0.5000, 0.8363)  0.37
Na (0.0000, 0.0000, 0.0000)  0.00

Total DFT energy (no corrections) in eV per cell: -63.19
Magnetic moment in μB/cell: 1.00

***

[9]
Entry from the Open Quantum Materials Database: crystalline ZnPdSeO at its relaxed geometry (PBE).

abc: 5.4168 7.6211 6.7043
angles: 90.00 90.00 90.00
Sites, in units of the cell vectors:
Pd (0.7541, 0.2017, 0.4186)
Pd (0.2459, 0.7017, 0.0814)
Pd (0.7459, 0.7983, 0.9186)
Pd (0.2541, 0.2983, 0.5814)
Se (0.5271, 0.0584, 0.7001)
Se (0.0271, 0.4416, 0.2999)
Se (0.9729, 0.9416, 0.2001)
Se (0.4729, 0.5584, 0.7999)
Zn (0.7451, 0.3247, 0.9203)
Zn (0.2451, 0.1753, 0.0797)
Zn (0.7549, 0.6753, 0.4203)
Zn (0.2549, 0.8247, 0.5797)
O (0.5756, 0.2235, 0.1459)
O (0.9244, 0.7765, 0.6459)
O (0.0756, 0.2765, 0.8541)
O (0.4244, 0.7235, 0.3541)

Energy above the lowest structure with this stoichiometry in meV/atom: 260.2

***

[10]
Entry from the Open Quantum Materials Database: crystalline TlGe2Mo at its relaxed geometry (PBE).

abc: 4.7930 4.7930 4.7930
angles: 60.00 60.00 60.00
Site moments in Bohr magnetons follow the coordinates.
Sites, in units of the cell vectors:
Ge (0.5000, 0.5000, 0.5000)  -0.04
Ge (0.2500, 0.2500, 0.2500)  -0.02
Mo (0.7500, 0.7500, 0.7500)  1.03
Tl (0.0000, 0.0000, 0.0000)  0.01

Total DFT energy (no corrections) in eV per cell: -19.21
Magnetic moment in μB/cell: 1.13

***

[11]
Entry from the Open Quantum Materials Database: crystalline Sm3Ge13Os4 at its relaxed geometry (PBE).

abc: 9.1185 9.1185 9.1185
angles: 90.00 90.00 90.00
Sites, in units of the cell vectors:
Ge (0.6463, 0.5000, 0.2031)
Ge (0.0000, 0.1463, 0.7031)
Ge (0.5000, 0.2031, 0.3537)
Ge (0.7969, 0.3537, 0.5000)
Ge (0.0000, 0.1463, 0.2969)
Ge (0.5000, 0.5000, 0.5000)
Ge (0.8537, 0.2969, 0.0000)
Ge (0.7031, 0.0000, 0.1463)
Ge (0.0000, 0.0000, 0.0000)
Ge (0.3537, 0.5000, 0.2031)
Ge (0.2969, 0.0000, 0.8537)
Ge (0.8537, 0.7031, 0.0000)
Ge (0.7969, 0.6463, 0.5000)
Ge (0.2969, 0.0000, 0.1463)
Ge (0.2031, 0.3537, 0.5000)
Ge (0.5000, 0.2031, 0.6463)
Ge (0.0000, 0.8537, 0.7031)
Ge (0.1463, 0.7031, 0.0000)
Ge (0.1463, 0.2969, 0.0000)
Ge (0.7031, 0.0000, 0.8537)
Ge (0.3537, 0.5000, 0.7969)
Ge (0.5000, 0.7969, 0.6463)
Ge (0.2031, 0.6463, 0.5000)
Ge (0.5000, 0.7969, 0.3537)
Ge (0.0000, 0.8537, 0.2969)
Ge (0.6463, 0.5000, 0.7969)
Os (0.2500, 0.7500, 0.7500)
Os (0.2500, 0.2500, 0.2500)
Os (0.7500, 0.2500, 0.2500)
Os (0.7500, 0.7500, 0.2500)
Os (0.7500, 0.7500, 0.7500)
Os (0.2500, 0.2500, 0.7500)
Os (0.7500, 0.2500, 0.7500)
Os (0.2500, 0.7500, 0.2500)
Sm (0.0000, 0.5000, 0.2500)
Sm (0.7500, 0.0000, 0.5000)
Sm (0.5000, 0.7500, 0.0000)
Sm (0.5000, 0.2500, 0.0000)
Sm (0.0000, 0.5000, 0.7500)
Sm (0.2500, 0.0000, 0.5000)

Total DFT energy (no corrections) in eV per cell: -251.79
Magnetic moment in μB/cell: 0.00

***

[12]
Entry from the Open Quantum Materials Database: crystalline SrZr2Zn at its relaxed geometry (PBE).

abc: 5.1951 5.1951 5.1951
angles: 60.00 60.00 60.00
Site moments in Bohr magnetons follow the coordinates.
Sites, in units of the cell vectors:
Zr (0.0000, 0.0000, 0.0000)  0.51
Zr (0.7500, 0.7500, 0.7500)  0.82
Zn (0.2500, 0.2500, 0.2500)  -0.03
Sr (0.5000, 0.5000, 0.5000)  0.03

Total DFT energy (no corrections) in eV per cell: -18.41
Magnetic moment in μB/cell: 1.96

***

no.,calculated density (Mg/m³)
1,7.6
2,9.0
3,5.8
4,7.4
5,8.3
6,6.1
7,9.7
8,4.3
9,6.4
10,9.5
11,9.4
12,5.6